Computed, not measured: a relaxed Pr2Dy3Ho5 crystal at the PBE-GGA level of DFT.

```
20
Lattice="-4.700 10.856 3.396 4.700 -10.856 3.396 4.700 10.856 -3.396" Properties=species:S:1:pos:R:3 pbc="T T T"
Pr 0.979 2.716 0.000
Pr 5.680 8.139 0.000
Pr -0.979 2.716 3.396
Pr 3.721 8.139 3.396
Dy 7.041 2.730 0.000
Dy 0.000 0.000 1.698
Dy 2.340 8.126 0.000
Dy 2.360 2.730 3.396
Dy 0.000 0.000 5.094
Dy -2.340 8.126 3.396
Ho 4.700 -5.392 1.698
Ho 3.884 2.705 0.000
Ho 4.700 0.000 1.698
Ho 3.884 -2.705 3.396
Ho 4.700 5.392 1.698
Ho 0.000 5.464 1.698
Ho 0.816 13.561 0.000
Ho 0.000 10.856 1.698
Ho 0.816 8.150 3.396
Ho 0.000 16.247 1.698
```

Energy relative to the lowest polymorph listed for this composition in eV/atom: 0.218
V in Å³/atom: 34.66
ρ in g/cm3: 7.6
Energy of formation in eV/atom: 0.411
Total magnetic moment in Bohr magnetons per cell: 0.000


Computed, not measured: a relaxed Pr4DyHo3 crystal at the PBE-GGA level of DFT.

```
16
Lattice="11.663 0.000 0.000 0.000 7.352 0.000 0.000 0.000 6.325" Properties=species:S:1:pos:R:3 pbc="T T T"
Pr 0.000 0.947 0.000
Pr 0.000 6.403 3.149
Pr 2.907 6.404 5.292
Pr 2.924 0.948 2.130
Pr 5.832 0.949 6.312
Pr 5.832 6.405 3.163
Pr 8.739 0.948 2.130
Pr 8.756 6.404 5.292
Dy 0.000 2.790 3.175
Dy 5.832 4.562 0.013
Ho 0.000 4.553 0.009
Ho 2.916 2.794 5.276
Ho 2.915 4.558 2.114
Ho 5.832 2.799 3.172
Ho 8.747 2.794 5.276
Ho 8.748 4.558 2.114
```

Energy relative to the lowest polymorph listed for this composition in eV/atom: 0.004
V in Å³/atom: 33.90
ρ in g/cm3: 7.5
Energy of formation in eV/atom: 0.031
Total magnetic moment in Bohr magnetons per cell: 0.000


Computed, not measured: a relaxed Pr5Dy12Ho2 crystal at the PBE-GGA level of DFT.

```
19
Lattice="8.947 -4.553 0.000 8.947 4.553 0.000 -3.772 0.000 7.840" Properties=species:S:1:pos:R:3 pbc="T T T"
Pr 0.000 0.000 0.000
Pr 1.242 0.000 6.221
Pr 4.114 0.000 2.171
Pr 10.008 0.000 5.670
Pr 12.880 0.000 1.619
Dy 4.113 2.868 4.657
Dy -1.757 0.000 5.348
Dy 6.522 2.015 0.359
Dy 10.010 2.868 3.183
Dy 7.601 2.015 7.481
Dy 4.906 0.000 6.142
Dy 9.216 0.000 1.698
Dy 6.522 -2.015 0.359
Dy 4.113 -2.868 4.657
Dy 7.601 -2.015 7.481
Dy 15.879 0.000 2.492
Dy 10.010 -2.868 3.183
Ho 7.061 1.576 3.920
Ho 7.061 -1.576 3.920
```

V in Å³/atom: 33.62
ρ in g/cm3: 7.8
Energy of formation in eV/atom: 0.210
Total magnetic moment in Bohr magnetons per cell: 0.001


Computed, not measured: a relaxed Pr7Dy16Ho6 crystal at the PBE-GGA level of DFT.

```
29
Lattice="0.000 7.952 7.952 7.952 0.000 7.952 7.952 7.952 0.000" Properties=species:S:1:pos:R:3 pbc="T T T"
Pr 0.000 0.000 0.000
Pr 3.976 3.976 0.000
Pr 3.976 0.000 3.976
Pr 7.952 3.976 3.976
Pr 0.000 3.976 3.976
Pr 3.976 7.952 3.976
Pr 3.976 3.976 7.952
Dy 10.330 5.575 5.575
Dy 2.053 2.053 2.053
Dy 5.899 5.899 2.053
Dy 5.899 2.053 5.899
Dy 5.575 5.575 5.575
Dy 10.330 10.330 5.575
Dy 10.330 5.575 10.330
Dy 13.852 10.005 10.005
Dy 2.053 5.899 5.899
Dy 5.575 10.330 5.575
Dy 5.575 5.575 10.330
Dy 10.330 10.330 10.330
Dy 10.005 13.852 10.005
Dy 10.005 10.005 13.852
Dy 13.852 13.852 13.852
Dy 5.575 10.330 10.330
Ho 7.952 7.952 4.081
Ho 7.952 4.081 7.952
Ho 11.824 7.952 7.952
Ho 4.081 7.952 7.952
Ho 7.952 11.824 7.952
Ho 7.952 7.952 11.824
```

V in Å³/atom: 34.68
ρ in g/cm3: 7.6
Energy of formation in eV/atom: 0.263
Total magnetic moment in Bohr magnetons per cell: 0.000